# 1
PaPd6Pt3 PBE relaxed; formation energy = -1.5 eV/f.u.; N(E_F) = 23.90 states/eV per cell; VASP energy = -120.62 eV per cell; M_tot = 0.00 μB per atom
1.0
9.501 0.000 0.000
0.000 4.592 0.000
-4.636 0.000 8.431
Pa Pd Pt
2 12 6
Direct
0.178 0.250 0.175
0.822 0.750 0.825
0.006 0.250 0.825
0.177 0.750 0.998
0.180 0.250 0.672
0.325 0.750 0.822
0.340 0.750 0.337
0.489 0.750 0.666
0.511 0.250 0.334
0.660 0.250 0.663
0.675 0.250 0.178
0.820 0.750 0.328
0.823 0.250 0.002
0.994 0.750 0.175
0.005 0.250 0.353
0.330 0.250 0.503
0.356 0.250 0.003
0.644 0.750 0.997
0.670 0.750 0.497
0.995 0.750 0.647

# 2
MgZrZn PBE relaxed; formation energy = 1.8 eV/f.u.; N(E_F) = 2.24 states/eV per cell; VASP energy = -9.66 eV per cell; M_tot = 0.00 μB per atom
1.0
0.000 3.288 3.288
3.288 0.000 3.288
3.288 3.288 0.000
Mg Zr Zn
1 1 1
Direct
0.000 0.000 0.000
0.750 0.750 0.750
0.500 0.500 0.500